Record 1
Compound: FeAgC2O
Source: the Alexandria database
Functional: GGA+U
Structure: relaxed

POSCAR file:
```
FeAgC2O
1.0
4.039 0.000 0.000
0.000 4.039 0.000
0.000 0.000 3.720
Fe Ag C O
1 1 2 1
Cartesian
0.000 0.000 0.000
2.020 2.020 0.000
0.000 2.020 1.860
2.020 0.000 1.860
0.000 0.000 1.860
```

Computed properties:
mass density	5.575	g/cm3
N(E_F)	2.13	states/eV/f.u.
space group	No. 123
raw total energy	-4.415	eV/atom
crystal system	tetragonal

=====

Record 2
Compound: Fe3AgC4O12
Source: the Alexandria database
Functional: GGA+U
Structure: relaxed

POSCAR file:
```
Fe3AgC4O12
1.0
4.838 2.793 2.680
-4.838 2.793 2.680
0.000 -5.587 2.680
Fe Ag C O
3 1 4 12
Cartesian
-2.622 -1.044 2.680
2.216 -1.749 2.680
0.407 2.793 2.680
0.000 0.000 0.000
-2.212 -3.832 4.020
0.000 0.000 4.020
-2.212 3.832 4.020
4.425 0.000 4.020
-2.864 -2.740 3.819
-3.937 0.000 4.020
-0.941 -3.851 4.222
-1.297 0.000 4.020
-2.864 2.740 4.222
1.969 -3.410 4.020
0.648 -1.123 4.020
-0.941 3.851 3.819
0.648 1.123 4.020
3.805 -1.110 3.819
1.969 3.410 4.020
3.805 1.110 4.222
```

Computed properties:
mass density	3.938	g/cm3
N(E_F)	9.17	states/eV/f.u.
space group	No. 155
raw total energy	-7.102	eV/atom
crystal system	trigonal

=====

Record 3
Compound: FeAgC2O6
Source: the Alexandria database
Functional: GGA+U
Structure: relaxed

POSCAR file:
```
FeAgC2O6
1.0
2.426 1.400 5.582
-2.426 1.400 5.582
0.000 -2.801 5.582
Fe Ag C O
1 1 2 6
Cartesian
0.000 0.000 0.000
0.000 0.000 8.373
0.000 0.000 4.430
0.000 0.000 12.316
-0.487 -1.202 4.407
-0.798 1.022 4.407
-1.284 -0.179 12.339
1.284 0.179 4.407
0.798 -1.022 12.339
0.487 1.202 12.339
```

Computed properties:
mass density	4.142	g/cm3
space group	No. 148
raw total energy	-6.864	eV/atom
crystal system	trigonal

=====

Record 4
Compound: FeAg2C2O6
Source: the Alexandria database
Functional: GGA+U
Structure: relaxed

POSCAR file:
```
FeAg2C2O6
1.0
4.436 -2.578 0.000
4.436 2.578 0.000
-3.479 0.000 5.773
Fe Ag C O
1 2 2 6
Cartesian
0.000 0.000 0.000
-0.533 0.000 3.664
5.927 0.000 2.109
3.073 0.000 1.286
2.322 0.000 4.487
1.662 1.121 4.342
1.809 0.000 1.078
3.732 1.121 1.431
1.662 -1.121 4.342
3.585 0.000 4.695
3.732 -1.121 1.431
```

Computed properties:
mass density	4.924	g/cm3
space group	No. 12
raw total energy	-6.410	eV/atom
crystal system	monoclinic